This record from Alexandria via LeMat-Bulk describes a geometry-optimized CdTc2Ag structure. The functional is PBE-GGA.

Cell lengths 9.712, 9.712, 9.712 Å; angles 16.79, 16.79, 16.79 degrees
Positions (direct):
Cd 0.000 0.000 0.000
Tc 0.491 0.491 0.491
Tc 0.755 0.755 0.755
Ag 0.244 0.244 0.244

Summary:
ΔH_f (0 K) = 0.14 eV per atom
Total DFT energy (no corrections) = -5.9857 eV per atom
Space-group type = R3m, No. 160